# CoRhAu2 | Alexandria | PBE-GGA | optimized geometry
# Crystal system ... trigonal
# Magnetization ... 2.7 μB/f.u.
# E ... -5.100 eV per atom
# V ... 63 Å³/cell
# Energy above the most stable polymorph in this dataset ... 53 meV per atom
# N(E_F) ... 4.00 states/eV/cell
# Energy relative to the elements ... 0.15 eV/atom
data_CoRhAu2
_chemical_formula_sum 'Co1 Rh1 Au2'
_symmetry_space_group_name_H-M 'P 1'
_symmetry_Int_Tables_number 1
_symmetry_space_group_name_Hall 'P 1'
_cell_length_a 9.362
_cell_length_b 9.362
_cell_length_c 9.362
_cell_angle_alpha 17.19
_cell_angle_beta 17.19
_cell_angle_gamma 17.19
loop_
_atom_site_label
_atom_site_type_symbol
_atom_site_fract_x
_atom_site_fract_y
_atom_site_fract_z
_atom_site_occupancy
Co1 Co 0.000 0.000 0.000 1
Rh1 Rh 0.737 0.737 0.737 1
Au1 Au 0.252 0.252 0.252 1
Au2 Au 0.491 0.491 0.491 1